DFT (PBE) results for a relaxed structure of Ba2NpInTe5.

Unit cell a=4.6456 b=10.5471 c=14.2268 alpha=90.00 beta=90.00 gamma=102.72
With the nearest neighbours (Å) after each atom.
Fractional coordinates of all 18 atoms:
Ba (0.8721, 0.7441, 0.8193)  7 Te 3.53-3.80
Ba (0.1190, 0.2380, 0.6846)  8 Te 3.50-3.90
Ba (0.1279, 0.2559, 0.3193)  7 Te 3.53-3.80
Ba (0.8810, 0.7620, 0.1846)  8 Te 3.50-3.90
Np (0.7937, 0.5873, 0.5189)  6 Te 3.08-3.28
Np (0.2063, 0.4127, 0.0189)  6 Te 3.08-3.28
In (0.5571, 0.1143, 0.9413)  4 Te 2.78-2.94
In (0.4429, 0.8857, 0.4413)  4 Te 2.78-2.94
Te (0.3556, 0.7113, 0.0042)  1 Np 3.08
Te (0.6903, 0.3807, 0.8660)  1 In 2.94, 2 Np 3.20
Te (0.4972, 0.9944, 0.7661)  1 In 2.78
Te (0.2927, 0.5855, 0.6645)  2 Np 3.11
Te (0.9507, 0.9015, 0.5591)  2 In 2.87
Te (0.6444, 0.2887, 0.5042)  1 Np 3.08
Te (0.3097, 0.6193, 0.3660)  1 In 2.94, 2 Np 3.20
Te (0.5028, 0.0056, 0.2661)  1 In 2.78
Te (0.7073, 0.4145, 0.1645)  2 Np 3.11
Te (0.0493, 0.0985, 0.0591)  2 In 2.87

## Properties
The density of states at the Fermi level comes out at 17.8 states/eV/cell. Its space-group type is No. 36. The value obtained for the formation energy from raw total energies is -9.669 eV/f.u.


DFT (PBE) results for a relaxed structure of BaNpIn2Te4.

Unit cell a=4.6261 b=8.2848 c=8.2447 alpha=71.70 beta=90.00 gamma=90.00
With the nearest neighbours (Å) after each atom.
Fractional coordinates of all 8 atoms:
Ba (0.5000, 0.5000, 0.0000)  6 Te 3.45-3.47
Np (0.0000, 0.5000, 0.5000)  6 Te 3.09-3.14
In (0.0000, 0.0000, 0.0000)  6 Te 3.57-3.62
In (0.5000, 0.0000, 0.5000)  6 Te 3.25-3.27
Te (0.0000, 0.7436, 0.7166)  1 Np 3.09, 2 In 3.27, 2 Ba 3.45
Te (0.0000, 0.2564, 0.2834)  1 Np 3.09, 2 In 3.27, 2 Ba 3.45
Te (0.5000, 0.7280, 0.2889)  2 Np 3.14, 1 In 3.25, 1 Ba 3.47
Te (0.5000, 0.2720, 0.7111)  2 Np 3.14, 1 In 3.25, 1 Ba 3.47

## Properties
The density of states at the Fermi level comes out at 9.2 states/eV/cell. Its space-group type is No. 10. The value obtained for the formation energy from raw total energies is -5.592 eV/f.u.


DFT (PBE) results for a relaxed structure of Ba3In5O12.

Unit cell a=12.1245 b=12.1245 c=12.1245 alpha=109.47 beta=109.47 gamma=109.47
With the nearest neighbours (Å) after each atom.
Fractional coordinates of all 80 atoms:
Ba (0.7500, 0.3750, 0.1250)  8 O 2.70-2.85
Ba (0.8750, 0.7500, 0.1250)  8 O 2.70-2.85
Ba (0.3750, 0.7500, 0.6250)  8 O 2.70-2.85
Ba (0.2500, 0.1250, 0.3750)  8 O 2.70-2.85
Ba (0.8750, 0.1250, 0.2500)  8 O 2.70-2.85
Ba (0.3750, 0.6250, 0.2500)  8 O 2.70-2.85
Ba (0.6250, 0.3750, 0.7500)  8 O 2.70-2.85
Ba (0.1250, 0.8750, 0.7500)  8 O 2.70-2.85
Ba (0.7500, 0.8750, 0.6250)  8 O 2.70-2.85
Ba (0.6250, 0.2500, 0.3750)  8 O 2.70-2.85
Ba (0.1250, 0.2500, 0.8750)  8 O 2.70-2.85
Ba (0.2500, 0.6250, 0.8750)  8 O 2.70-2.85
In (0.1250, 0.3750, 0.2500)  4 O 2.09
In (0.0000, 0.5000, 0.0000)  6 O 2.21
In (0.0000, 0.0000, 0.0000)  6 O 2.21
In (0.3750, 0.2500, 0.1250)  4 O 2.09
In (0.5000, 0.0000, 0.5000)  6 O 2.21
In (0.5000, 0.5000, 0.0000)  6 O 2.21
In (0.1250, 0.7500, 0.3750)  4 O 2.09
In (0.7500, 0.1250, 0.8750)  4 O 2.09
In (0.7500, 0.6250, 0.3750)  4 O 2.09
In (0.3750, 0.1250, 0.7500)  4 O 2.09
In (0.6250, 0.8750, 0.2500)  4 O 2.09
In (0.5000, 0.5000, 0.5000)  6 O 2.21
In (0.5000, 0.0000, 0.0000)  6 O 2.21
In (0.0000, 0.0000, 0.5000)  6 O 2.21
In (0.2500, 0.3750, 0.6250)  4 O 2.09
In (0.2500, 0.8750, 0.1250)  4 O 2.09
In (0.0000, 0.5000, 0.5000)  6 O 2.21
In (0.8750, 0.2500, 0.6250)  4 O 2.09
In (0.6250, 0.7500, 0.8750)  4 O 2.09
In (0.8750, 0.6250, 0.7500)  4 O 2.09
O (0.6964, 0.1167, 0.0199)  2 In 2.09-2.21
O (0.3234, 0.5199, 0.4031)  2 In 2.09-2.21
O (0.9801, 0.3833, 0.3036)  2 In 2.09-2.21
O (0.5199, 0.1964, 0.1167)  2 In 2.09-2.21
O (0.5797, 0.6964, 0.6766)  2 In 2.09-2.21
O (0.9801, 0.5969, 0.1766)  2 In 2.09-2.21
O (0.3234, 0.8036, 0.4203)  2 In 2.09-2.21
O (0.0969, 0.9203, 0.1167)  2 In 2.09-2.21
O (0.5969, 0.9801, 0.6766)  2 In 2.09-2.21
O (0.6964, 0.5797, 0.1766)  2 In 2.09-2.21
O (0.8036, 0.4801, 0.3833)  2 In 2.09-2.21
O (0.8234, 0.9031, 0.0199)  2 In 2.09-2.21
O (0.1167, 0.6964, 0.5199)  2 In 2.09-2.21
O (0.3833, 0.4031, 0.0797)  2 In 2.09-2.21
O (0.0797, 0.9031, 0.3833)  2 In 2.09-2.21
O (0.4203, 0.1167, 0.5969)  2 In 2.09-2.21
O (0.0797, 0.1766, 0.1964)  2 In 2.09-2.21
O (0.4801, 0.6766, 0.0969)  2 In 2.09-2.21
O (0.8234, 0.9203, 0.3036)  2 In 2.09-2.21
O (0.1167, 0.4203, 0.0969)  2 In 2.09-2.21
O (0.3833, 0.9801, 0.8036)  2 In 2.09-2.21
O (0.5969, 0.6167, 0.4203)  2 In 2.09-2.21
O (0.9031, 0.8234, 0.5199)  2 In 2.09-2.21
O (0.8036, 0.3234, 0.9203)  2 In 2.09-2.21
O (0.4031, 0.3833, 0.5797)  2 In 2.09-2.21
O (0.0969, 0.1766, 0.4801)  2 In 2.09-2.21
O (0.1964, 0.6766, 0.0797)  2 In 2.09-2.21
O (0.1766, 0.0797, 0.6964)  2 In 2.09-2.21
O (0.6167, 0.0199, 0.1964)  2 In 2.09-2.21
O (0.8833, 0.5797, 0.9031)  2 In 2.09-2.21
O (0.5199, 0.3234, 0.9031)  2 In 2.09-2.21
O (0.5797, 0.8833, 0.4031)  2 In 2.09-2.21
O (0.9203, 0.8234, 0.8036)  2 In 2.09-2.21
O (0.9203, 0.0969, 0.6167)  2 In 2.09-2.21
O (0.8833, 0.3036, 0.4801)  2 In 2.09-2.21
O (0.1766, 0.0969, 0.9801)  2 In 2.09-2.21
O (0.6167, 0.5969, 0.9203)  2 In 2.09-2.21
O (0.4031, 0.0199, 0.3234)  2 In 2.09-2.21
O (0.3036, 0.4203, 0.8234)  2 In 2.09-2.21
O (0.1964, 0.5199, 0.6167)  2 In 2.09-2.21
O (0.9031, 0.0797, 0.8833)  2 In 2.09-2.21
O (0.6766, 0.1964, 0.5797)  2 In 2.09-2.21
O (0.4801, 0.8036, 0.8833)  2 In 2.09-2.21
O (0.0199, 0.4031, 0.8234)  2 In 2.09-2.21
O (0.4203, 0.3036, 0.3234)  2 In 2.09-2.21
O (0.0199, 0.6167, 0.6964)  2 In 2.09-2.21
O (0.6766, 0.4801, 0.5969)  2 In 2.09-2.21
O (0.3036, 0.8833, 0.9801)  2 In 2.09-2.21

## Properties
The density of states at the Fermi level comes out at 77.9 states/eV/cell. Its space-group type is No. 230. The value obtained for the formation energy from raw total energies is -32.574 eV/f.u.


DFT (PBE) results for a relaxed structure of Ba6In2O.

Unit cell a=8.0207 b=8.0207 c=8.0207 alpha=119.99 beta=119.99 gamma=90.02
With the nearest neighbours (Å) after each atom.
Fractional coordinates of all 9 atoms:
Ba (0.2407, 0.2407, 0.0000)  1 O 2.73
Ba (0.7593, 0.7593, 0.0000)  1 O 2.73
Ba (0.7593, 0.2407, 0.0000)  1 O 2.73
Ba (0.2407, 0.2407, 0.4815)  1 O 2.73
Ba (0.2407, 0.7593, 0.0000)  1 O 2.73
Ba (0.7593, 0.7593, 0.5185)  1 O 2.73
In (0.7500, 0.2500, 0.5000)  12 Ba 4.01
In (0.2500, 0.7500, 0.5000)  12 Ba 4.01
O (0.0000, 0.0000, 0.0000)  6 Ba 2.73

## Properties
The density of states at the Fermi level comes out at 10.3 states/eV/cell. Its space-group type is No. 225. The value obtained for the excess energy over the best structure of this formula in the dataset is 36 meV/atom. The value obtained for the formation energy from raw total energies is -6.350 eV/f.u.


DFT (PBE) results for a relaxed structure of Ba4InO.

Unit cell a=7.6810 b=7.7053 c=10.6923 alpha=111.06 beta=110.99 gamma=90.16
With the nearest neighbours (Å) after each atom.
Fractional coordinates of all 12 atoms:
Ba (0.3080, 0.9373, 0.6069)  1 O 2.57
Ba (0.9371, 0.7998, 0.1076)  1 O 2.57
Ba (0.2012, 0.3304, 0.3931)  1 O 2.57
Ba (0.3295, 0.6922, 0.8924)  1 O 2.57
Ba (0.6920, 0.0627, 0.3931)  1 O 2.57
Ba (0.7988, 0.6696, 0.6069)  1 O 2.57
Ba (0.0629, 0.2002, 0.8924)  1 O 2.57
Ba (0.6705, 0.3078, 0.1076)  1 O 2.57
In (0.3748, 0.6248, 0.2495)  8 Ba 3.64-3.93
In (0.6252, 0.3752, 0.7505)  8 Ba 3.64-3.93
O (0.8751, 0.1251, 0.2502)  4 Ba 2.57
O (0.1249, 0.8749, 0.7498)  4 Ba 2.57

## Properties
The density of states at the Fermi level comes out at 11.6 states/eV/cell. Its space-group type is No. 15. The value obtained for the excess energy over the best structure of this formula in the dataset is 17 meV/atom. The value obtained for the formation energy from raw total energies is -5.527 eV/f.u.


DFT (PBE) results for a relaxed structure of Ba4In2O.

Unit cell a=5.5858 b=5.5858 c=9.5229 alpha=107.05 beta=107.05 gamma=90.00
With the nearest neighbours (Å) after each atom.
Fractional coordinates of all 7 atoms:
Ba (0.8357, 0.8357, 0.6714)  1 O 2.85
Ba (0.1643, 0.1643, 0.3286)  1 O 2.85
Ba (0.0000, 0.5000, 0.0000)  2 O 2.79
Ba (0.5000, 0.0000, 0.0000)  2 O 2.79
O (0.0000, 0.0000, 0.0000)  6 Ba 2.79-2.85
In (0.6286, 0.6286, 0.2571)  9 Ba 3.57-4.00
In (0.3714, 0.3714, 0.7429)  9 Ba 3.57-4.00

## Properties
The density of states at the Fermi level comes out at 8.2 states/eV/cell. Its space-group type is No. 139. The value obtained for the excess energy over the best structure of this formula in the dataset is 54 meV/atom. The value obtained for the formation energy from raw total energies is -6.124 eV/f.u.


DFT (PBE) results for a relaxed structure of BaIn2O4.

Unit cell a=3.3813 b=10.2913 c=11.9051 alpha=90.00 beta=90.00 gamma=90.00
With the nearest neighbours (Å) after each atom.
Fractional coordinates of all 28 atoms:
Ba (0.2500, 0.7552, 0.3484)  8 O 2.69-2.89
Ba (0.7500, 0.2448, 0.6516)  8 O 2.69-2.89
Ba (0.2500, 0.2552, 0.1516)  8 O 2.69-2.89
Ba (0.7500, 0.7448, 0.8484)  8 O 2.69-2.89
In (0.7500, 0.0698, 0.8907)  6 O 2.19-2.27
In (0.2500, 0.9302, 0.1093)  6 O 2.19-2.27
In (0.7500, 0.5698, 0.6093)  6 O 2.19-2.27
In (0.2500, 0.4302, 0.3907)  6 O 2.19-2.27
In (0.2500, 0.4207, 0.8940)  6 O 2.23-2.28
In (0.7500, 0.5793, 0.1060)  6 O 2.23-2.28
In (0.2500, 0.9207, 0.6060)  6 O 2.23-2.28
In (0.7500, 0.0793, 0.3940)  6 O 2.23-2.28
O (0.7500, 0.0722, 0.0743)  3 In 2.19-2.27
O (0.2500, 0.9278, 0.9257)  3 In 2.19-2.27
O (0.7500, 0.5722, 0.4257)  3 In 2.19-2.27
O (0.2500, 0.4278, 0.5743)  3 In 2.19-2.27
O (0.7500, 0.9776, 0.7173)  3 In 2.23-2.27
O (0.2500, 0.0224, 0.2827)  3 In 2.23-2.27
O (0.7500, 0.4776, 0.7827)  3 In 2.23-2.27
O (0.2500, 0.5224, 0.2173)  3 In 2.23-2.27
O (0.7500, 0.3853, 0.0158)  3 In 2.26-2.27
O (0.2500, 0.6147, 0.9842)  3 In 2.26-2.27
O (0.7500, 0.8853, 0.4842)  3 In 2.26-2.27
O (0.2500, 0.1147, 0.5158)  3 In 2.26-2.27
O (0.2500, 0.2060, 0.8456)  3 In 2.26-2.28
O (0.7500, 0.7940, 0.1544)  3 In 2.26-2.28
O (0.2500, 0.7060, 0.6544)  3 In 2.26-2.28
O (0.7500, 0.2940, 0.3456)  3 In 2.26-2.28

## Properties
The density of states at the Fermi level comes out at 0.0 states/eV/cell. Its space-group type is No. 62. The value obtained for the excess energy over the best structure of this formula in the dataset is 0 meV/atom. The value obtained for the formation energy from raw total energies is -13.139 eV/f.u.